# 1
An optimized crystal structure of LiMg2NiSn2. Source: Alexandria via LeMat-Bulk, functional PBE.

The formation energy is -219 meV per atom. For the density of states at the Fermi level, the calculation gives 2.542 states/eV/f.u.

The structure belongs to space group Ibam (No. 72); the cell edges are 6.082, 12.938 and 6.094 Å and the angles 90.00°, 90.00° and 90.00°. Symmetry generates all atoms from Li at (0.000, 0.000, 0.250), Mg at (0.246, 0.352, 0.000), Ni at (0.000, 0.500, 0.250) and Sn at (0.237, 0.376, 0.500).



# 2
An optimized crystal structure of Sr2LiMgNi. Source: Alexandria via LeMat-Bulk, functional PBE.

The polymorph energy (0 for the lowest one) comes out at 86.3 meV/atom. The formation energy is 109 meV per atom. For the density of states at the Fermi level, the calculation gives 2.770 states/eV/f.u.

The structure belongs to space group P4/mmm (No. 123); the cell edges are 5.769, 5.769 and 4.826 Å and the angles 90.00°, 90.00° and 90.00°. Symmetry generates all atoms from Sr at (0.000, 0.500, 0.000), Li at (0.000, 0.000, 0.500), Mg at (0.500, 0.500, 0.500) and Ni at (0.000, 0.000, 0.000).



# 3
An optimized crystal structure of SrLiMgNi. Source: Alexandria via LeMat-Bulk, functional PBE.

The formation energy is 78 meV per atom. For the density of states at the Fermi level, the calculation gives 2.215 states/eV/f.u.

The structure belongs to space group F-43m (No. 216); the cell edges are 7.066, 7.066 and 7.066 Å and the angles 90.00°, 90.00° and 90.00°. Symmetry generates all atoms from Sr at (0.000, 0.000, 0.000), Li at (0.250, 0.250, 0.750), Mg at (0.000, 0.000, 0.500) and Ni at (0.250, 0.250, 0.250).



# 4
An optimized crystal structure of Sr2LiMgNi. Source: Alexandria via LeMat-Bulk, functional PBE.

The polymorph energy (0 for the lowest one) comes out at 0.0 meV/atom. The formation energy is 23 meV per atom. For the density of states at the Fermi level, the calculation gives 1.669 states/eV/f.u.

The structure belongs to space group P4/mmm (No. 123); the cell edges are 5.741, 5.741 and 5.043 Å and the angles 90.00°, 90.00° and 90.00°. Symmetry generates all atoms from Sr at (0.000, 0.500, 0.000), Li at (0.000, 0.000, 0.500), Mg at (0.500, 0.500, 0.500) and Ni at (0.500, 0.500, 0.000).



# 5
An optimized crystal structure of SrLi2MgNi. Source: Alexandria via LeMat-Bulk, functional PBE.

The formation energy is 76 meV per atom. For the density of states at the Fermi level, the calculation gives 2.850 states/eV/f.u.

The structure belongs to space group P4/mmm (No. 123); the cell edges are 4.920, 4.920 and 4.941 Å and the angles 90.00°, 90.00° and 90.00°. Symmetry generates all atoms from Sr at (0.000, 0.000, 0.000), Li at (0.000, 0.500, 0.500), Mg at (0.500, 0.500, 0.000) and Ni at (0.500, 0.500, 0.500).



# 6
An optimized crystal structure of LiThMgNi. Source: Alexandria via LeMat-Bulk, functional PBE.

The formation energy is -100 meV per atom. For the density of states at the Fermi level, the calculation gives 2.979 states/eV/f.u.

The structure belongs to space group F-43m (No. 216); the cell edges are 6.765, 6.765 and 6.765 Å and the angles 90.00°, 90.00° and 90.00°. Symmetry generates all atoms from Li at (0.000, 0.000, 0.000), Th at (0.250, 0.250, 0.250), Mg at (0.250, 0.250, 0.750) and Ni at (0.000, 0.000, 0.500).